CaMg3Rh at its PBEsol-relaxed geometry, computed with meta-GGA SCAN.

The structure in CIF format:
```
data_CaMg3Rh
_chemical_formula_sum 'Ca1 Mg3 Rh1'
_cell_length_a 4.9690
_cell_length_b 4.9690
_cell_length_c 4.9690
_cell_angle_alpha 90.00
_cell_angle_beta 90.00
_cell_angle_gamma 90.00
_symmetry_space_group_name_H-M 'P m -3 m'
_symmetry_Int_Tables_number 221
_symmetry_space_group_name_Hall '-P 4 2 3'
loop_
_atom_site_label
_atom_site_fract_x
_atom_site_fract_y
_atom_site_fract_z
_atom_site_occupancy
Ca1 0.0000 0.0000 0.0000 1
Mg1 0.0000 0.5000 0.5000 1
Rh1 0.5000 0.5000 0.5000 1
```

Results
ρ	2.92	g cm⁻³
size of the total moment	0.000	μB per formula unit
formation energy from the elements	-0.276	eV/atom



CeCdAg2 at its PBEsol-relaxed geometry, computed with meta-GGA SCAN.

The structure in CIF format:
```
data_CeCdAg2
_chemical_formula_sum 'Ce4 Cd4 Ag8'
_cell_length_a 6.9687
_cell_length_b 6.9687
_cell_length_c 6.9687
_cell_angle_alpha 90.00
_cell_angle_beta 90.00
_cell_angle_gamma 90.00
_symmetry_space_group_name_H-M 'F m -3 m'
_symmetry_Int_Tables_number 225
_symmetry_space_group_name_Hall '-F 4 2 3'
loop_
_atom_site_label
_atom_site_fract_x
_atom_site_fract_y
_atom_site_fract_z
_atom_site_occupancy
Ce1 0.0000 0.0000 0.0000 1
Cd1 0.0000 0.0000 0.5000 1
Ag1 0.2500 0.2500 0.2500 1
```

Results
ρ	9.19	g cm⁻³
size of the total moment	1.390	μB per formula unit
formation energy from the elements	-0.190	eV/atom



SiMoCl2 at its PBEsol-relaxed geometry, computed with meta-GGA SCAN.

The structure in CIF format:
```
data_SiMoCl2
_chemical_formula_sum 'Si2 Mo2 Cl4'
_cell_length_a 13.5363
_cell_length_b 3.0055
_cell_length_c 4.1120
_cell_angle_alpha 90.00
_cell_angle_beta 99.03
_cell_angle_gamma 90.00
_symmetry_space_group_name_H-M 'C 1 2/m 1'
_symmetry_Int_Tables_number 12
loop_
_symmetry_equiv_pos_as_xyz
'x,y,z'
'-x,-y,-z'
'-x,y,-z'
'x,-y,z'
'x+1/2,y+1/2,z'
'-x+1/2,-y+1/2,-z'
'-x+1/2,y+1/2,-z'
'x+1/2,-y+1/2,z'
loop_
_atom_site_label
_atom_site_fract_x
_atom_site_fract_y
_atom_site_fract_z
_atom_site_occupancy
Si1 0.0000 0.0000 0.0000 1
Mo1 0.0000 0.5000 0.5000 1
Cl1 0.1472 0.0000 0.6903 1
```

Results
excess energy over the best structure of this formula in the dataset	0.00	eV per formula unit
ρ	3.92	g cm⁻³
size of the total moment	0.687	μB per formula unit
ΔE_f (raw)	-0.189	eV/atom



Sc2Co at its PBEsol-relaxed geometry, computed with meta-GGA SCAN.

The structure in CIF format:
```
data_Sc2Co
_chemical_formula_sum 'Sc8 Co4'
_cell_length_a 3.1966
_cell_length_b 13.9677
_cell_length_c 4.6522
_cell_angle_alpha 90.00
_cell_angle_beta 90.00
_cell_angle_gamma 90.00
_symmetry_space_group_name_H-M 'C m c m'
_symmetry_Int_Tables_number 63
_symmetry_space_group_name_Hall '-C 2c 2'
loop_
_atom_site_label
_atom_site_fract_x
_atom_site_fract_y
_atom_site_fract_z
_atom_site_occupancy
Sc1 0.0000 0.0721 0.2500 1
Sc2 0.0000 0.2145 0.7500 1
Co1 0.0000 0.4267 0.2500 1
```

Results
ρ	4.76	g cm⁻³
size of the total moment	0.404	μB per formula unit
formation energy from the elements	-0.212	eV/atom



Nd2H22C10N6O21 at its PBEsol-relaxed geometry, computed with meta-GGA SCAN.

The structure in CIF format:
```
data_Nd2H22C10N6O21
_chemical_formula_sum 'Nd8 H88 C40 N24 O84'
_cell_length_a 13.8851
_cell_length_b 11.4458
_cell_length_c 15.5527
_cell_angle_alpha 90.00
_cell_angle_beta 107.90
_cell_angle_gamma 90.00
_symmetry_space_group_name_H-M 'C 1 2/c 1'
_symmetry_Int_Tables_number 15
loop_
_symmetry_equiv_pos_as_xyz
'x,y,z'
'-x,-y,-z'
'-x,y,-z+1/2'
'x,-y,z+1/2'
'x+1/2,y+1/2,z'
'-x+1/2,-y+1/2,-z'
'-x+1/2,y+1/2,-z+1/2'
'x+1/2,-y+1/2,z+1/2'
loop_
_atom_site_label
_atom_site_fract_x
_atom_site_fract_y
_atom_site_fract_z
_atom_site_occupancy
Nd1 0.1738 0.1444 0.1576 1
H1 0.9997 0.3132 0.5232 1
H2 0.0005 0.4130 0.1116 1
H3 0.0238 0.1158 0.6638 1
H4 0.0418 0.2252 0.8265 1
H5 0.0571 0.3958 0.7468 1
H6 0.0790 0.0336 0.4888 1
H7 0.0898 0.0917 0.9481 1
H8 0.1012 0.4862 0.9017 1
H9 0.1144 0.2976 0.6117 1
H10 0.2366 0.1043 0.3963 1
H11 0.2443 0.0221 0.4919 1
C1 0.0400 0.1340 0.2975 1
C2 0.1217 0.3995 0.5054 1
C3 0.1845 0.4187 0.2368 1
C4 0.2016 0.2879 0.9842 1
C5 0.2087 0.1320 0.7214 1
N1 0.0705 0.4431 0.4246 1
N2 0.0769 0.3248 0.5472 1
N3 0.2179 0.4310 0.5438 1
O1 0.0000 0.3454 0.7500 1
O2 0.0082 0.1317 0.3653 1
O3 0.0471 0.1456 0.8538 1
O4 0.1127 0.0422 0.0065 1
O5 0.1182 0.3502 0.1896 1
O6 0.1317 0.1353 0.2992 1
O7 0.1410 0.0627 0.6761 1
O8 0.1407 0.2808 0.0298 1
O9 0.1733 0.4750 0.7548 1
O10 0.1911 0.3515 0.9156 1
O11 0.1956 0.2391 0.7332 1
```

Results
ρ	2.40	g cm⁻³
size of the total moment	0.208	μB per formula unit



Zr4CdP6O24 at its PBEsol-relaxed geometry, computed with meta-GGA SCAN.

The structure in CIF format:
```
data_Zr4CdP6O24
_chemical_formula_sum 'Zr12 Cd3 P18 O72'
_cell_length_a 8.9074
_cell_length_b 8.9074
_cell_length_c 22.1669
_cell_angle_alpha 90.00
_cell_angle_beta 90.00
_cell_angle_gamma 120.00
_symmetry_space_group_name_H-M 'R -3'
_symmetry_Int_Tables_number 148
_symmetry_space_group_name_Hall '-R 3'
loop_
_atom_site_label
_atom_site_fract_x
_atom_site_fract_y
_atom_site_fract_z
_atom_site_occupancy
Zr1 0.0000 0.0000 0.1355 1
Zr2 0.0000 0.0000 0.3524 1
Cd1 0.0000 0.0000 0.5000 1
P1 0.0113 0.2931 0.2463 1
O1 0.0117 0.1964 0.3041 1
O2 0.0234 0.1997 0.1905 1
O3 0.0252 0.2063 0.9135 1
O4 0.0276 0.8403 0.4197 1
```

Results
ρ	3.42	g cm⁻³
size of the total moment	0.000	μB per formula unit
ΔE_f (raw)	-2.941	eV/atom



CrNiRh at its PBEsol-relaxed geometry, computed with meta-GGA SCAN.

The structure in CIF format:
```
data_CrNiRh
_chemical_formula_sum 'Cr2 Ni2 Rh2'
_cell_length_a 2.5697
_cell_length_b 2.5697
_cell_length_c 10.6666
_cell_angle_alpha 90.00
_cell_angle_beta 90.00
_cell_angle_gamma 90.00
_symmetry_space_group_name_H-M 'I 4 m m'
_symmetry_Int_Tables_number 107
_symmetry_space_group_name_Hall 'I 4 -2'
loop_
_atom_site_label
_atom_site_fract_x
_atom_site_fract_y
_atom_site_fract_z
_atom_site_occupancy
Cr1 0.0000 0.0000 0.0000 1
Ni1 0.0000 0.0000 0.6570 1
Rh1 0.0000 0.0000 0.3347 1
```

Results
excess energy over the best structure of this formula in the dataset	0.23	eV per formula unit
ρ	10.07	g cm⁻³
size of the total moment	0.002	μB per formula unit
formation energy from the elements	0.038	eV/atom



ZrGaSb3 at its PBEsol-relaxed geometry, computed with meta-GGA SCAN.

The structure in CIF format:
```
data_ZrGaSb3
_chemical_formula_sum 'Zr1 Ga1 Sb3'
_cell_length_a 5.1219
_cell_length_b 5.1219
_cell_length_c 5.1219
_cell_angle_alpha 90.00
_cell_angle_beta 90.00
_cell_angle_gamma 90.00
_symmetry_space_group_name_H-M 'P m -3 m'
_symmetry_Int_Tables_number 221
_symmetry_space_group_name_Hall '-P 4 2 3'
loop_
_atom_site_label
_atom_site_fract_x
_atom_site_fract_y
_atom_site_fract_z
_atom_site_occupancy
Zr1 0.0000 0.0000 0.0000 1
Ga1 0.5000 0.5000 0.5000 1
Sb1 0.0000 0.5000 0.5000 1
```

Results
ρ	6.50	g cm⁻³
size of the total moment	0.004	μB per formula unit
ΔE_f (raw)	0.673	eV/atom



Mg2AlTc at its PBEsol-relaxed geometry, computed with meta-GGA SCAN.

The structure in CIF format:
```
data_Mg2AlTc
_chemical_formula_sum 'Mg4 Al2 Tc2'
_cell_length_a 9.2603
_cell_length_b 2.7515
_cell_length_c 5.2160
_cell_angle_alpha 90.00
_cell_angle_beta 96.30
_cell_angle_gamma 90.00
_symmetry_space_group_name_H-M 'C 1 m 1'
_symmetry_Int_Tables_number 8
loop_
_symmetry_equiv_pos_as_xyz
'x,y,z'
'x,-y,z'
'x+1/2,y+1/2,z'
'x+1/2,-y+1/2,z'
loop_
_atom_site_label
_atom_site_fract_x
_atom_site_fract_y
_atom_site_fract_z
_atom_site_occupancy
Mg1 0.0000 0.0000 0.0000 1
Mg2 0.2390 0.0000 0.7377 1
Al1 0.2538 0.5000 0.2771 1
Tc1 0.4916 0.0000 0.4842 1
```

Results
ρ	4.36	g cm⁻³
size of the total moment	0.000	μB per formula unit
formation energy from the elements	0.017	eV/atom



TiTeP3O12 at its PBEsol-relaxed geometry, computed with meta-GGA SCAN.

The structure in CIF format:
```
data_TiTeP3O12
_chemical_formula_sum 'Ti6 Te6 P18 O72'
_cell_length_a 8.6229
_cell_length_b 8.6229
_cell_length_c 22.3655
_cell_angle_alpha 90.00
_cell_angle_beta 90.00
_cell_angle_gamma 120.00
_symmetry_space_group_name_H-M 'R 3 c'
_symmetry_Int_Tables_number 161
_symmetry_space_group_name_Hall 'R 3 -2"c'
loop_
_atom_site_label
_atom_site_fract_x
_atom_site_fract_y
_atom_site_fract_z
_atom_site_occupancy
Ti1 0.0000 0.0000 0.0000 1
Te1 0.0000 0.0000 0.2117 1
P1 0.0032 0.2890 0.1063 1
O1 0.0169 0.1886 0.7680 1
O2 0.0271 0.1963 0.0524 1
O3 0.1626 0.4454 0.8306 1
O4 0.1719 0.4688 0.1180 1
```

Results
ρ	3.18	g cm⁻³
size of the total moment	0.000	μB per formula unit
ΔE_f (raw)	-2.256	eV/atom



LiReNF2 at its PBEsol-relaxed geometry, computed with meta-GGA SCAN.

The structure in CIF format:
```
data_LiReNF2
_chemical_formula_sum 'Li1 Re1 N1 F2'
_cell_length_a 4.1116
_cell_length_b 4.1116
_cell_length_c 3.8092
_cell_angle_alpha 90.00
_cell_angle_beta 90.00
_cell_angle_gamma 90.00
_symmetry_space_group_name_H-M 'P 4/m m m'
_symmetry_Int_Tables_number 123
_symmetry_space_group_name_Hall '-P 4 2'
loop_
_atom_site_label
_atom_site_fract_x
_atom_site_fract_y
_atom_site_fract_z
_atom_site_occupancy
Li1 0.0000 0.0000 0.0000 1
Re1 0.5000 0.5000 0.5000 1
N1 0.5000 0.5000 0.0000 1
F1 0.0000 0.5000 0.5000 1
```

Results
ρ	6.32	g cm⁻³
size of the total moment	0.000	μB per formula unit
ΔE_f (raw)	-1.031	eV/atom



Mn3VSb2P6O24 at its PBEsol-relaxed geometry, computed with meta-GGA SCAN.

The structure in CIF format:
```
data_Mn3VSb2P6O24
_chemical_formula_sum 'Mn9 V3 Sb6 P18 O72'
_cell_length_a 8.5842
_cell_length_b 8.5842
_cell_length_c 21.7969
_cell_angle_alpha 90.00
_cell_angle_beta 90.00
_cell_angle_gamma 120.00
_symmetry_space_group_name_H-M 'R 3'
_symmetry_Int_Tables_number 146
_symmetry_space_group_name_Hall 'R 3'
loop_
_atom_site_label
_atom_site_fract_x
_atom_site_fract_y
_atom_site_fract_z
_atom_site_occupancy
Mn1 0.0000 0.0000 0.0000 1
Mn2 0.0000 0.0000 0.1966 1
Mn3 0.0000 0.0000 0.4932 1
V1 0.0000 0.0000 0.7012 1
Sb1 0.0000 0.0000 0.3474 1
Sb2 0.0000 0.0000 0.8595 1
P1 0.9995 0.2962 0.0954 1
P2 0.0022 0.7158 0.5958 1
O1 0.0130 0.8097 0.5357 1
O2 0.0198 0.2086 0.0373 1
O3 0.0210 0.8268 0.6531 1
O4 0.0361 0.8386 0.2687 1
O5 0.1405 0.4432 0.8214 1
O6 0.1613 0.4918 0.4224 1
O7 0.1684 0.6820 0.5945 1
O8 0.1751 0.4855 0.0960 1
```

Results
ρ	3.69	g cm⁻³
size of the total moment	14.000	μB per formula unit
ΔE_f (raw)	-2.237	eV/atom



Calculated calculated total energy, -11.947, -34.618, -15.403, -15.471, -8.545, -13.374, -22.738, -31.093, -13.173, -11.624, -19.003, -12.201 eV/atom (same order as the records).
Calculated V, 24.54, 21.15, 20.65, 17.31, 9.64, 14.51, 11.74, 26.87, 16.51, 14.12, 12.88, 12.88 Å³/atom (same order as the records).